Entry 1:
TbH3Pd (PBE-GGA, optimized geometry); calculated total energy = -4.477 eV/atom; size of the total moment = 0.000 μB/f.u.
1.0
3.806 0.000 0.000
0.107 5.185 0.000
0.181 1.629 5.538
Tb H Pd
2 6 2
direct
0.000 0.000 0.000 Tb
0.500 0.378 0.411 Tb
0.037 0.400 0.155 H
0.039 0.503 0.637 H
0.506 0.215 0.837 H
0.515 0.736 0.036 H
0.562 0.966 0.300 H
0.984 0.132 0.585 H
0.322 0.526 0.886 Pd
0.868 0.830 0.520 Pd



Entry 2:
HfCr3H (PBE-GGA, optimized geometry); calculated total energy = -6.148 eV/atom; relative energy among the computed polymorphs = 9.79 eV per formula unit; size of the total moment = 10.258 μB/f.u.
1.0
4.893 0.000 0.000
0.000 4.893 0.000
0.000 0.000 4.893
Hf Cr H
1 3 1
direct
0.000 0.000 0.000 Hf
0.000 0.000 0.500 Cr
0.000 0.500 0.000 Cr
0.500 0.000 0.000 Cr
0.500 0.500 0.500 H



Entry 3:
Na3AlP8O23 (PBE-GGA, optimized geometry); formation energy from raw total energies = -2.23 eV per atom; calculated total energy = -6.945 eV/atom; size of the total moment = 0.000 μB/f.u.
1.0
12.086 0.000 0.000
0.000 12.086 0.000
0.000 0.000 12.086
Na Al P O
12 4 32 92
direct
0.044 0.294 0.125 Na
0.125 0.044 0.294 Na
0.206 0.875 0.544 Na
0.294 0.125 0.044 Na
0.375 0.956 0.794 Na
0.456 0.706 0.625 Na
0.544 0.206 0.875 Na
0.625 0.456 0.706 Na
0.706 0.625 0.456 Na
0.794 0.375 0.956 Na
0.875 0.544 0.206 Na
0.956 0.794 0.375 Na
0.125 0.625 0.875 Al
0.375 0.375 0.375 Al
0.625 0.875 0.125 Al
0.875 0.125 0.625 Al
0.018 0.018 0.018 P
0.069 0.365 0.854 P
0.104 0.885 0.819 P
0.115 0.319 0.396 P
0.135 0.146 0.569 P
0.146 0.569 0.135 P
0.181 0.604 0.615 P
0.232 0.768 0.268 P
0.268 0.232 0.768 P
0.319 0.396 0.115 P
0.354 0.431 0.635 P
0.365 0.854 0.069 P
0.385 0.681 0.896 P
0.396 0.115 0.319 P
0.431 0.635 0.354 P
0.482 0.982 0.518 P
0.518 0.482 0.982 P
0.569 0.135 0.146 P
0.604 0.615 0.181 P
0.615 0.181 0.604 P
0.635 0.354 0.431 P
0.646 0.931 0.865 P
0.681 0.896 0.385 P
0.732 0.732 0.732 P
0.768 0.268 0.232 P
0.819 0.104 0.885 P
0.854 0.069 0.365 P
0.865 0.646 0.931 P
0.885 0.819 0.104 P
0.896 0.385 0.681 P
0.931 0.865 0.646 P
0.982 0.518 0.482 P
0.011 0.822 0.563 O
0.016 0.408 0.420 O
0.018 0.375 0.732 O
0.032 0.122 0.633 O
0.063 0.489 0.178 O
0.072 0.239 0.313 O
0.080 0.984 0.908 O
0.089 0.089 0.089 O
0.092 0.580 0.516 O
0.117 0.628 0.718 O
0.122 0.633 0.032 O
0.125 0.268 0.518 O
0.128 0.782 0.883 O
0.133 0.468 0.878 O
0.158 0.266 0.830 O
0.161 0.839 0.339 O
0.170 0.658 0.234 O
0.178 0.063 0.489 O
0.187 0.928 0.739 O
0.218 0.383 0.372 O
0.232 0.482 0.625 O
0.234 0.170 0.658 O
0.239 0.313 0.072 O
0.261 0.687 0.572 O
0.266 0.830 0.158 O
0.268 0.518 0.125 O
0.282 0.617 0.872 O
0.313 0.072 0.239 O
0.322 0.937 0.989 O
0.330 0.342 0.734 O
0.339 0.161 0.839 O
0.342 0.734 0.330 O
0.367 0.532 0.378 O
0.372 0.218 0.383 O
0.375 0.732 0.018 O
0.378 0.367 0.532 O
0.383 0.372 0.218 O
0.408 0.420 0.016 O
0.411 0.911 0.589 O
0.420 0.016 0.408 O
0.428 0.761 0.813 O
0.437 0.511 0.678 O
0.468 0.878 0.133 O
0.482 0.625 0.232 O
0.484 0.592 0.920 O
0.489 0.178 0.063 O
0.511 0.678 0.437 O
0.516 0.092 0.580 O
0.518 0.125 0.268 O
0.532 0.378 0.367 O
0.563 0.011 0.822 O
0.572 0.261 0.687 O
0.580 0.516 0.092 O
0.589 0.411 0.911 O
0.592 0.920 0.484 O
0.617 0.872 0.282 O
0.622 0.867 0.968 O
0.625 0.232 0.482 O
0.628 0.718 0.117 O
0.633 0.032 0.122 O
0.658 0.234 0.170 O
0.661 0.661 0.661 O
0.670 0.842 0.766 O
0.678 0.437 0.511 O
0.687 0.572 0.261 O
0.718 0.117 0.628 O
0.732 0.018 0.375 O
0.734 0.330 0.342 O
0.739 0.187 0.928 O
0.761 0.813 0.428 O
0.766 0.670 0.842 O
0.768 0.982 0.875 O
0.782 0.883 0.128 O
0.813 0.428 0.761 O
0.822 0.563 0.011 O
0.830 0.158 0.266 O
0.839 0.339 0.161 O
0.842 0.766 0.670 O
0.867 0.968 0.622 O
0.872 0.282 0.617 O
0.875 0.768 0.982 O
0.878 0.133 0.468 O
0.883 0.128 0.782 O
0.908 0.080 0.984 O
0.911 0.589 0.411 O
0.920 0.484 0.592 O
0.928 0.739 0.187 O
0.937 0.989 0.322 O
0.968 0.622 0.867 O
0.982 0.875 0.768 O
0.984 0.908 0.080 O
0.989 0.322 0.937 O



Entry 4:
PaZnInIr (PBE-GGA, optimized geometry); calculated total energy = -5.914 eV/atom; size of the total moment = 0.000 μB/f.u.
1.0
0.000 3.405 3.405
3.405 0.000 3.405
3.405 3.405 0.000
Pa Zn In Ir
1 1 1 1
direct
0.000 0.000 0.000 Pa
0.750 0.750 0.750 Zn
0.500 0.500 0.500 In
0.250 0.250 0.250 Ir